1.
Pm3Tm2Sn3 | PBE | relaxed

Summary:
space group	Immm
ΔH_f (0 K)	-0.555	eV/atom
theoretical density	8.2	g/cm³
total moment	0.0	μB/cell

```
8
Lattice="-2.179 2.475 10.627 2.179 -2.475 10.627 2.179 2.475 -10.627" Properties=species:S:1:pos:R:3 pbc="T T T"
Pm 0.000 0.000 0.000
Pm 2.179 0.000 8.083
Pm 0.000 2.475 2.544
Tm 0.000 0.000 5.214
Tm 0.000 0.000 16.040
Sn 2.179 0.000 2.926
Sn 0.000 0.000 10.627
Sn 0.000 2.475 7.702
```

***

2.
PmTmSn | PBE | relaxed

Summary:
space group	P3m1
ΔH_f (0 K)	-0.371	eV/atom
theoretical density	8.1	g/cm³
total moment	0.0	μB/cell

```
3
Lattice="5.116 0.000 0.000 -2.558 4.430 0.000 0.000 0.000 3.926" Properties=species:S:1:pos:R:3 pbc="T T T"
Pm 0.000 0.000 0.000
Tm 0.000 2.954 1.777
Sn 2.558 1.477 2.474
```

***

3.
PmTm2Sn2 | PBE | relaxed

Summary:
space group	Cmc2_1
ΔH_f (0 K)	-0.575	eV/atom
theoretical density	8.2	g/cm³
total moment	0.0	μB/cell

```
10
Lattice="2.418 -9.262 0.000 2.418 9.262 0.000 0.000 0.000 6.505" Properties=species:S:1:pos:R:3 pbc="T T T"
Pm 2.418 7.187 3.253
Pm 2.418 -7.187 0.000
Tm 2.418 3.394 3.566
Tm 2.418 0.172 1.685
Tm 2.418 -0.172 4.938
Tm 2.418 -3.394 0.313
Sn 2.418 7.942 0.074
Sn 2.418 3.871 0.420
Sn 2.418 -3.871 3.673
Sn 2.418 -7.942 3.326
```

***

4.
Pm2Tm2Sn | PBE | relaxed

Summary:
space group	I4/mmm
ΔH_f (0 K)	0.125	eV/atom
theoretical density	7.6	g/cm³
total moment	0.0	μB/cell

```
5
Lattice="-2.175 2.175 8.605 2.175 -2.175 8.605 2.175 2.175 -8.605" Properties=species:S:1:pos:R:3 pbc="T T T"
Pm 0.000 0.000 1.503
Pm 0.000 0.000 15.707
Tm 2.175 0.000 4.302
Tm 0.000 2.175 4.302
Sn 0.000 0.000 8.605
```

***

Number 1 is which compound?
Pm3Tm2Sn3

***

Among the records above, which one has the lowest ΔH_f (0 K)?
PmTm2Sn2

***

Which formula does entry 1 have?
Pm3Tm2Sn3

***

What did the fourth record say?
Pm2Tm2Sn | PBE | relaxed

Summary:
space group	I4/mmm
ΔH_f (0 K)	0.125	eV/atom
theoretical density	7.6	g/cm³
total moment	0.0	μB/cell

```
5
Lattice="-2.175 2.175 8.605 2.175 -2.175 8.605 2.175 2.175 -8.605" Properties=species:S:1:pos:R:3 pbc="T T T"
Pm 0.000 0.000 1.503
Pm 0.000 0.000 15.707
Tm 2.175 0.000 4.302
Tm 0.000 2.175 4.302
Sn 0.000 0.000 8.605
```